This record from OQMD describes Sr2NiBiH6 after structural relaxation. The functional is PBE.

Unit cell a=8.123 b=8.123 c=8.123 alpha=90.00 beta=90.00 gamma=90.00
Space group Fm-3m (No. 225)
Unique sites:
1 Sr 0.250 0.250 0.250 (multiplicity 8)
2 Ni 0.000 0.000 0.000 (multiplicity 4)
3 Bi 0.000 0.000 0.500 (multiplicity 4)
4 H 0.000 0.000 0.193 (multiplicity 24)

Results
**Total magnetic moment**: 0.000 μB/f.u.
**Energy**: -3.543 eV per atom
**ρ**: 5564 kg/m³

---

This record from OQMD describes NpBiH after structural relaxation. The functional is PBE.

Unit cell a=3.8030 b=3.8030 c=4.8199 alpha=90.00 beta=90.00 gamma=120.00
Space group P-6m2 (No. 187)
Unique sites:
1 Np 0.0000 0.0000 0.0000 (multiplicity 1)
2 Bi 0.6667 0.3333 0.5000 (multiplicity 1)
3 H 0.3333 0.6667 0.0000 (multiplicity 1)

Results
**Total magnetic moment**: 3.928 μB/f.u.
**Energy**: -6.897 eV per atom
**ρ**: 12295 kg/m³

---

This record from OQMD describes Pm2BiH3 after structural relaxation. The functional is PBE.

Unit cell a=15.303 b=4.041 c=7.390 alpha=90.00 beta=114.55 gamma=90.00
Space group C2/m (No. 12)
Unique sites:
1 Pm 0.029 0.000 0.270 (multiplicity 4)
2 Pm 0.199 0.500 0.677 (multiplicity 4)
3 Bi 0.134 0.500 0.047 (multiplicity 4)
4 H 0.062 0.500 0.410 (multiplicity 4)
5 H 0.095 0.000 0.622 (multiplicity 4)
6 H 0.193 0.000 0.475 (multiplicity 4)

Results
**Total magnetic moment**: 0.002 μB/f.u.
**Energy**: -4.638 eV per atom
**ρ**: 8022 kg/m³

---

This record from OQMD describes Pr2BiH3 after structural relaxation. The functional is PBE.

Unit cell a=15.599 b=4.111 c=7.504 alpha=90.00 beta=114.60 gamma=90.00
Space group C2/m (No. 12)
Unique sites:
1 Pr 0.029 0.000 0.269 (multiplicity 4)
2 Pr 0.200 0.500 0.680 (multiplicity 4)
3 Bi 0.133 0.500 0.047 (multiplicity 4)
4 H 0.062 0.500 0.411 (multiplicity 4)
5 H 0.096 0.000 0.622 (multiplicity 4)
6 H 0.193 0.000 0.476 (multiplicity 4)

Results
**Total magnetic moment**: 0.001 μB/f.u.
**Energy**: -4.635 eV per atom
**ρ**: 7496 kg/m³

---

This record from OQMD describes Pu4Bi2H after structural relaxation. The functional is PBE.

Unit cell a=4.717 b=4.717 c=16.588 alpha=90.00 beta=90.00 gamma=90.00
Space group I4/mmm (No. 139)
Unique sites:
1 Pu 0.000 0.000 0.160 (multiplicity 4)
2 Pu 0.000 0.500 0.000 (multiplicity 4)
3 Bi 0.000 0.000 0.355 (multiplicity 4)
4 H 0.000 0.000 0.000 (multiplicity 2)

Results
**Total magnetic moment**: 24.866 μB/f.u.
**Energy**: -10.156 eV per atom
**ρ**: 12552 kg/m³

---

This record from OQMD describes Re2BiH6 after structural relaxation. The functional is PBE.

Unit cell a=12.409 b=4.744 c=5.619 alpha=90.00 beta=97.61 gamma=90.00
Space group C2/c (No. 15)
Unique sites:
1 Re 0.195 0.124 0.170 (multiplicity 8)
2 Bi 0.000 0.203 0.750 (multiplicity 4)
3 H 0.087 0.309 0.237 (multiplicity 8)
4 H 0.170 0.181 0.480 (multiplicity 8)
5 H 0.175 0.405 0.964 (multiplicity 8)

Results
**Total magnetic moment**: 0.000 μB/f.u.
**Energy**: -5.109 eV per atom
**ρ**: 11900 kg/m³

---

This record from OQMD describes Hf2Bi after structural relaxation. The functional is PBE.

Unit cell a=8.366 b=8.366 c=8.366 alpha=90.00 beta=90.00 gamma=90.00
Space group Fd-3m (No. 227, origin choice 2)
Unique sites:
1 Hf 0.000 0.000 0.000 (multiplicity 16)
2 Bi 0.125 0.125 0.625 (multiplicity 8)

Results
**Total magnetic moment**: 0.016 μB/f.u.
**Energy**: -7.760 eV per atom
**ρ**: 12840 kg/m³

---

This record from OQMD describes HfBi3 after structural relaxation. The functional is PBE.

Unit cell a=9.683 b=4.008 c=12.558 alpha=90.00 beta=90.00 gamma=90.00
Space group Pnma (No. 62)
Unique sites:
1 Hf 0.112 0.250 0.036 (multiplicity 4)
2 Bi 0.031 0.750 0.203 (multiplicity 4)
3 Bi 0.085 0.750 0.571 (multiplicity 4)
4 Bi 0.223 0.750 0.873 (multiplicity 4)

Results
**Total magnetic moment**: 0.007 μB/f.u.
**Energy**: -5.458 eV per atom
**ρ**: 10976 kg/m³